DFT (PBE-GGA) results for a relaxed structure of TlAuO3.

It has space group P4mm (No. 99), with a = 4.062 Å, b = 4.062 Å, c = 4.232 Å, α = 90.00°, β = 90.00° and γ = 90.00°. Symmetry generates all atoms from Tl at (0.000, 0.000, 0.000), Au at (0.500, 0.500, 0.577), O at (0.000, 0.500, 0.644) and O at (0.500, 0.500, 0.085).

Its total DFT energy (no corrections) is -20.2 eV for the cell shown.